Material: HfCrSiO2
Method: DFT, PBE with a Hubbard U
State: relaxed

Values from the calculation:
Fermi-level density of states ... 2.43 states/eV/f.u.
Space-group type ... P4/mmm, No. 123
Calculated volume ... 13.866 Å³/atom
Electronic total energy ... -33.75 eV/cell

The structure in extended XYZ format:
```
5
Lattice="3.682 0.000 0.000 0.000 5.115 0.000 0.000 0.000 3.682" Properties=species:S:1:pos:R:3 pbc="T T T"
Cr 0.000 2.557 0.000
Si 0.000 0.000 0.000
Hf 1.841 2.557 1.841
O 0.000 0.000 1.841
O 1.841 0.000 0.000
```